No. 1
A plane-wave DFT calculation with PBE was carried out for a geometry-optimized La2HoTm4Sc structure.

Values from the calculation:
V   32.2 A^3/atom
ΔH_f (0 K)   0.417 eV/atom
DOS(E_F)   73.21 states/eV/cell

Cell lengths 6.725, 11.727, 13.058 Å; angles 90.00, 90.00, 90.00 degrees
Space group Imma (No. 74)
One atom of each set of equivalent atoms:
La  0.000  0.000  0.000 (multiplicity 4)
La  0.250  0.250  0.250 (multiplicity 4)
Ho  0.000  0.000  0.500 (multiplicity 4)
Tm  0.000  0.018  0.748 (multiplicity 8)
Tm  0.247  0.250  0.514 (multiplicity 8)
Sc  0.250  0.250  0.750 (multiplicity 4)

=====

No. 2
A plane-wave DFT calculation with PBE was carried out for a geometry-optimized PuMgZnO4 structure.

Values from the calculation:
V   13.2 A^3/atom
DOS(E_F)   18.54 states/eV/cell
Uncorrected formation energy   -16.24 eV/f.u.

Cell lengths 6.309, 6.750, 8.686 Å; angles 90.00, 90.00, 90.00 degrees
Space group Imma (No. 74)
One atom of each set of equivalent atoms:
Pu  0.000  0.000  0.000 (multiplicity 4)
Mg  0.000  0.250  0.372 (multiplicity 4)
Zn  0.250  0.250  0.750 (multiplicity 4)
O  0.000  0.016  0.750 (multiplicity 8)
O  0.237  0.250  0.999 (multiplicity 8)

=====

No. 3
A plane-wave DFT calculation with PBE was carried out for a geometry-optimized PmSm5Ho4 structure.

Values from the calculation:
V   33.3 A^3/atom
ΔH_f (0 K)   0.155 eV/atom
DOS(E_F)   34.90 states/eV/cell

Cell lengths 28.220, 3.486, 6.817 Å; angles 90.00, 97.26, 90.00 degrees
Space group C2/m (No. 12)
One atom of each set of equivalent atoms:
Pm  0.000  0.000  0.000 (multiplicity 2)
Sm  0.000  0.000  0.500 (multiplicity 2)
Sm  0.200  0.500  0.599 (multiplicity 4)
Sm  0.206  0.500  0.105 (multiplicity 4)
Ho  0.094  0.500  0.297 (multiplicity 4)
Ho  0.109  0.000  0.812 (multiplicity 4)

=====

No. 4
A plane-wave DFT calculation with PBE was carried out for a geometry-optimized Cs2VHgMo structure.

Values from the calculation:
V   42.7 A^3/atom
ΔH_f (0 K)   1.728 eV/atom
DOS(E_F)   5.72 states/eV/cell

Cell lengths 6.229, 6.229, 5.509 Å; angles 90.00, 90.00, 90.00 degrees
Space group P4/mmm (No. 123)
One atom of each set of equivalent atoms:
Cs  0.000  0.500  0.000 (multiplicity 2)
V  0.000  0.000  0.500 (multiplicity 1)
Hg  0.500  0.500  0.500 (multiplicity 1)
Mo  0.500  0.500  0.000 (multiplicity 1)

=====

No. 5
A plane-wave DFT calculation with PBE was carried out for a geometry-optimized NdPaIn structure.

Values from the calculation:
V   27.8 A^3/atom
ΔH_f (0 K)   0.152 eV/atom
DOS(E_F)   5.94 states/eV/cell

Cell lengths 5.4713, 5.4713, 3.2202 Å; angles 90.00, 90.00, 120.00 degrees
Space group P3m1 (No. 156)
One atom of each set of equivalent atoms:
Nd  0.0000  0.0000  0.0000 (multiplicity 1)
Pa  0.3333  0.6667  0.5905 (multiplicity 1)
In  0.6667  0.3333  0.2747 (multiplicity 1)

=====

No. 6
A plane-wave DFT calculation with PBE was carried out for a geometry-optimized RbBa3F structure.

Values from the calculation:
V   48.9 A^3/atom
DOS(E_F)   9.02 states/eV/cell
Uncorrected formation energy   -4.30 eV/f.u.

Cell lengths 6.253, 6.253, 6.253 Å; angles 90.00, 90.00, 90.00 degrees
Space group Pm-3m (No. 221)
One atom of each set of equivalent atoms:
Rb  0.000  0.000  0.000 (multiplicity 1)
Ba  0.000  0.500  0.500 (multiplicity 3)
F  0.500  0.500  0.500 (multiplicity 1)

=====

No. 7
A plane-wave DFT calculation with PBE was carried out for a geometry-optimized LiBC structure.

Values from the calculation:
V   7.7 A^3/atom
ΔH_f (0 K)   -0.366 eV/atom
DOS(E_F)   0.08 states/eV/cell

Cell lengths 2.7464, 2.7464, 3.5346 Å; angles 90.00, 90.00, 120.00 degrees
Space group P-6m2 (No. 187)
One atom of each set of equivalent atoms:
Li  0.0000  0.0000  0.0000 (multiplicity 1)
B  0.6667  0.3333  0.5000 (multiplicity 1)
C  0.3333  0.6667  0.5000 (multiplicity 1)

=====

No. 8
A plane-wave DFT calculation with PBE was carried out for a geometry-optimized AlTl structure.

Values from the calculation:
V   25.2 A^3/atom
ΔH_f (0 K)   0.211 eV/atom
DOS(E_F)   5.36 states/eV/cell

Cell lengths 6.946, 6.969, 8.332 Å; angles 90.00, 90.00, 90.00 degrees
Space group P2_12_12_1 (No. 19)
One atom of each set of equivalent atoms:
Al  0.061  0.032  0.086 (multiplicity 4)
Al  0.179  0.838  0.363 (multiplicity 4)
Tl  0.079  0.813  0.735 (multiplicity 4)
Tl  0.165  0.577  0.070 (multiplicity 4)

=====

Among the records above, which one has the highest DOS(E_F)?
La2HoTm4Sc

=====

Repeat the sixth record exactly.
A plane-wave DFT calculation with PBE was carried out for a geometry-optimized RbBa3F structure.

Values from the calculation:
V   48.9 A^3/atom
DOS(E_F)   9.02 states/eV/cell
Uncorrected formation energy   -4.30 eV/f.u.

Cell lengths 6.253, 6.253, 6.253 Å; angles 90.00, 90.00, 90.00 degrees
Space group Pm-3m (No. 221)
One atom of each set of equivalent atoms:
Rb  0.000  0.000  0.000 (multiplicity 1)
Ba  0.000  0.500  0.500 (multiplicity 3)
F  0.500  0.500  0.500 (multiplicity 1)